Record 1
VASP calculation (PBE) on HfIrAu2 after structural relaxation.

Cell lengths 7.5742, 7.5742, 5.9907 Å; angles 50.79, 50.79, 90.00 degrees
With the nearest neighbours (Å) after each atom.
Positions (direct):
Au1 0.8750 0.8845 0.7500  2 Au 2.69, 2 Ir 2.71, 2 Hf 2.81
Au2 0.1155 0.6250 0.2500  2 Au 2.69, 2 Ir 2.71, 2 Hf 2.81
Au3 0.6345 0.1250 0.2500  2 Au 2.69, 2 Ir 2.71, 2 Hf 2.81
Au4 0.3750 0.3655 0.7500  2 Au 2.69, 2 Ir 2.71, 2 Hf 2.81
Ir1 0.0000 0.0000 0.0000  2 Hf 2.68, 4 Au 2.71
Ir2 0.7500 0.2500 0.5000  2 Hf 2.68, 4 Au 2.71
Hf1 0.2500 0.7500 0.5000  2 Ir 2.68, 4 Au 2.81
Hf2 0.5000 0.5000 0.0000  2 Ir 2.68, 4 Au 2.81

Magnetization, μB/cell: 0.0
Calculated volume, Å³/atom: 19.2
Space-group type: I-42d (122)
VASP energy, eV/atom: -6.28
Formation energy from the elements, eV per atom: 0.06
E above lowest polymorph, meV/atom: 282

***

Record 2
VASP calculation (PBE) on Ac2Tl3Hg4 after structural relaxation.

Cell lengths 5.3754, 5.3754, 10.6879 Å; angles 89.71, 89.71, 59.73 degrees
With the nearest neighbours (Å) after each atom.
Positions (direct):
Ac1 0.3330 0.3330 0.2115  7 Hg 3.30-3.41
Ac2 0.6670 0.6670 0.7885  7 Hg 3.30-3.41
Tl1 0.3334 0.3334 0.5664  4 Hg 3.24-3.51, 3 Tl 3.41
Tl2 0.0000 0.0000 0.0000  8 Hg 3.29-3.68
Tl3 0.6666 0.6666 0.4336  4 Hg 3.24-3.51, 3 Tl 3.41
Hg1 0.0003 0.0003 0.6557  3 Tl 3.24, 1 Hg 3.33, 3 Ac 3.41
Hg2 0.3337 0.3337 0.8947  4 Tl 3.29-3.51, 4 Ac 3.30-3.39
Hg3 0.6663 0.6663 0.1053  4 Tl 3.29-3.51, 4 Ac 3.30-3.39
Hg4 0.9997 0.9997 0.3443  3 Tl 3.24, 1 Hg 3.33, 3 Ac 3.41

Magnetization, μB/cell: 0.0
Calculated volume, Å³/atom: 29.6
Space-group type: C2/m (12)
VASP energy, eV/atom: -2.16
Formation energy from the elements, eV per atom: -0.32
E above lowest polymorph, meV/atom: 0

***

The highest VASP energy belongs to which entry? Ac2Tl3Hg4

***

Which of these has the highest calculated volume? Ac2Tl3Hg4